Entry a
# ScTiSe3

An optimized crystal structure of ScTiSe3 (PBE, Alexandria via LeMat-Bulk).

The density of states at the Fermi level comes out at 1.907 states/eV/atom.

The structure belongs to space group Pm-3m (No. 221); the cell edges are 5.067, 5.067 and 5.067 Å and the angles 90.00°, 90.00° and 90.00°. The asymmetric unit holds Sc at (0.000, 0.000, 0.000), Ti at (0.500, 0.500, 0.500) and Se at (0.000, 0.000, 0.500).

Entry b
# ScTiSe3

An optimized crystal structure of ScTiSe3 (PBE, Alexandria via LeMat-Bulk).

The density of states at the Fermi level comes out at 0.597 states/eV/atom.

The structure belongs to space group C2/m (No. 12); the cell edges are 6.453, 11.314 and 6.478 Å and the angles 90.00°, 109.80° and 90.00°. The asymmetric unit holds Sc at (0.000, 0.165, 0.000), Ti at (0.000, 0.336, 0.500), Se at (0.238, 0.500, 0.744) and Se at (0.246, 0.167, 0.738).

Of them, entry b has the highest stability.

Entry a
# ScTiSe3

An optimized crystal structure of ScTiSe3 (PBE, Alexandria via LeMat-Bulk).

The density of states at the Fermi level comes out at 1.241 states/eV/atom.

The structure belongs to space group Pm-3m (No. 221); the cell edges are 4.918, 4.918 and 4.918 Å and the angles 90.00°, 90.00° and 90.00°. The asymmetric unit holds Sc at (0.000, 0.000, 0.000), Ti at (0.500, 0.500, 0.500) and Se at (0.000, 0.500, 0.500).

Entry b
# ScTiSe3

An optimized crystal structure of ScTiSe3 (PBE, Alexandria via LeMat-Bulk).

The density of states at the Fermi level comes out at 0.566 states/eV/atom.

The structure belongs to space group Cmc2_1 (No. 36); the cell edges are 3.742, 19.719 and 6.544 Å and the angles 90.00°, 90.00° and 90.00°. The asymmetric unit holds Sc at (0.000, 0.161, 0.000), Ti at (0.000, 0.335, 0.993), Se at (0.000, 0.095, 0.652), Se at (0.000, 0.250, 0.328) and Se at (0.000, 0.410, 0.678).

Of them, entry b has the highest stability.

Entry a
# Sc3TiSe

An optimized crystal structure of Sc3TiSe (PBE, Alexandria via LeMat-Bulk).

The density of states at the Fermi level comes out at 2.165 states/eV/atom.

The structure belongs to space group Pm-3m (No. 221); the cell edges are 4.985, 4.985 and 4.985 Å and the angles 90.00°, 90.00° and 90.00°. The asymmetric unit holds Sc at (0.000, 0.000, 0.500), Ti at (0.500, 0.500, 0.500) and Se at (0.000, 0.000, 0.000).

Entry b
# Sc3TiSe

An optimized crystal structure of Sc3TiSe (PBE, Alexandria via LeMat-Bulk).

The density of states at the Fermi level comes out at 0.756 states/eV/atom.

The structure belongs to space group Pm-3m (No. 221); the cell edges are 5.005, 5.005 and 5.005 Å and the angles 90.00°, 90.00° and 90.00°. The asymmetric unit holds Sc at (0.000, 0.000, 0.500), Ti at (0.000, 0.000, 0.000) and Se at (0.500, 0.500, 0.500).

Of them, entry a has the highest stability.

Entry a
# Sc2TlSe

An optimized crystal structure of Sc2TlSe (PBE, Alexandria via LeMat-Bulk).

The density of states at the Fermi level comes out at 0.820 states/eV/atom.

The structure belongs to space group C2/m (No. 12); the cell edges are 6.782, 7.685 and 3.522 Å and the angles 90.00°, 103.26° and 90.00°. The asymmetric unit holds Sc at (0.250, 0.250, 0.000), Tl at (0.000, 0.000, 0.500) and Se at (0.000, 0.500, 0.500).

Entry b
# Sc2TlSe

An optimized crystal structure of Sc2TlSe (PBE, Alexandria via LeMat-Bulk).

The density of states at the Fermi level comes out at 1.299 states/eV/atom.

The structure belongs to space group Fm-3m (No. 225); the cell edges are 7.060, 7.060 and 7.060 Å and the angles 90.00°, 90.00° and 90.00°. The asymmetric unit holds Sc at (0.250, 0.250, 0.250), Tl at (0.000, 0.000, 0.000) and Se at (0.000, 0.000, 0.500).

Of them, entry a has the highest stability.

Entry a
# Sc2TlSe

An optimized crystal structure of Sc2TlSe (PBE, Alexandria via LeMat-Bulk).

The density of states at the Fermi level comes out at 0.643 states/eV/atom.

The structure belongs to space group Pmmm (No. 47); the cell edges are 3.826, 4.247 and 5.754 Å and the angles 90.00°, 90.00° and 90.00°. The asymmetric unit holds Sc at (0.000, 0.000, 0.000), Sc at (0.500, 0.500, 0.500), Tl at (0.000, 0.000, 0.500) and Se at (0.500, 0.500, 0.000).

Entry b
# Sc2TlSe

An optimized crystal structure of Sc2TlSe (PBE, Alexandria via LeMat-Bulk).

The density of states at the Fermi level comes out at 0.414 states/eV/atom.

The structure belongs to space group R-3m (No. 166, hexagonal axes); the cell edges are 3.7002, 3.7002 and 23.0839 Å and the angles 90.00°, 90.00° and 120.00°. The asymmetric unit holds Sc at (0.0000, 0.0000, 0.2369), Tl at (0.0000, 0.0000, 0.0000) and Se at (0.0000, 0.0000, 0.5000).

Entry c
# Sc2TlSe

An optimized crystal structure of Sc2TlSe (PBE, Alexandria via LeMat-Bulk).

The density of states at the Fermi level comes out at 0.496 states/eV/atom.

The structure belongs to space group P4mm (No. 99); the cell edges are 5.168, 5.168 and 3.681 Å and the angles 90.00°, 90.00° and 90.00°. The asymmetric unit holds Sc at (0.000, 0.500, 0.000), Tl at (0.000, 0.000, 0.499) and Se at (0.500, 0.500, 0.999).

Entry d
# Sc2TlSe

An optimized crystal structure of Sc2TlSe (PBE, Alexandria via LeMat-Bulk).

The density of states at the Fermi level comes out at 0.962 states/eV/atom.

The structure belongs to space group I-42d (No. 122); the cell edges are 7.561, 7.561 and 6.681 Å and the angles 90.00°, 90.00° and 90.00°. The asymmetric unit holds Sc at (0.219, 0.250, 0.125), Tl at (0.000, 0.000, 0.500) and Se at (0.000, 0.000, 0.000).

Of them, entry b has the highest stability.

Entry a
# Sc2TlSe

An optimized crystal structure of Sc2TlSe (PBE, Alexandria via LeMat-Bulk).

The density of states at the Fermi level comes out at 0.854 states/eV/atom.

The structure belongs to space group R3m (No. 160, hexagonal axes); the cell edges are 3.6164, 3.6164 and 27.3724 Å and the angles 90.00°, 90.00° and 120.00°. The asymmetric unit holds Sc at (0.0000, 0.0000, 0.0000), Sc at (0.0000, 0.0000, 0.2389), Tl at (0.0000, 0.0000, 0.7536) and Se at (0.0000, 0.0000, 0.5135).

Entry b
# Sc2TlSe

An optimized crystal structure of Sc2TlSe (PBE, Alexandria via LeMat-Bulk).

The density of states at the Fermi level comes out at 1.102 states/eV/atom.

The structure belongs to space group Pmmm (No. 47); the cell edges are 3.505, 4.680 and 5.456 Å and the angles 90.00°, 90.00° and 90.00°. The asymmetric unit holds Sc at (0.000, 0.000, 0.000), Sc at (0.000, 0.500, 0.500), Tl at (0.500, 0.000, 0.500) and Se at (0.500, 0.500, 0.000).

Entry c
# Sc2TlSe

An optimized crystal structure of Sc2TlSe (PBE, Alexandria via LeMat-Bulk).

The density of states at the Fermi level comes out at 0.815 states/eV/atom.

The structure belongs to space group P2/m (No. 10); the cell edges are 3.378, 3.449 and 7.615 Å and the angles 90.00°, 97.77° and 90.00°. The asymmetric unit holds Sc at (0.070, 0.000, 0.278), Tl at (0.500, 0.500, 0.000) and Se at (0.500, 0.500, 0.500).

Of them, entry c has the highest stability.